Entry from the Alexandria database: a relaxed structure of GaCoAu2O6 (GGA+U).

energy	-5.0427	eV/atom
DOS at the Fermi energy	10.2	states/eV/cell
space-group type	No. 15

a b c (Å): 4.958 6.963 6.963
angles (deg): 88.35 89.45 89.45
Each line ends with the local moment (μB).
Positions (direct):
Ga 0.250 0.406 0.594  0.00
Ga 0.750 0.594 0.406  0.00
Co 0.250 0.905 0.095  2.35
Co 0.750 0.095 0.905  2.35
Au 0.260 0.903 0.598  0.00
Au 0.240 0.402 0.097  0.00
Au 0.740 0.097 0.402  0.00
Au 0.760 0.598 0.903  0.00
O 0.046 0.948 0.835  0.01
O 0.454 0.165 0.052  0.01
O 0.954 0.052 0.165  0.01
O 0.546 0.835 0.948  0.01
O 0.510 0.854 0.360  0.01
O 0.990 0.640 0.146  0.01
O 0.490 0.146 0.640  0.01
O 0.010 0.360 0.854  0.01
O 0.050 0.664 0.556  0.00
O 0.450 0.444 0.336  0.00
O 0.950 0.336 0.444  0.00
O 0.550 0.556 0.664  0.00